# MnInBF6 (PBE with a Hubbard U, optimized geometry)
data_MnInBF6
_chemical_formula_sum 'Mn1 In1 B1 F6'
_space_group_name_H-M_alt 'P 1'
_space_group_IT_number 1
_cell_length_a 5.0576
_cell_length_b 5.7446
_cell_length_c 6.6503
_cell_angle_alpha 84.74
_cell_angle_beta 77.50
_cell_angle_gamma 64.15
loop_
_space_group_symop_operation_xyz
'x,y,z'
loop_
_atom_site_label
_atom_site_type_symbol
_atom_site_fract_x
_atom_site_fract_y
_atom_site_fract_z
Mn1 Mn 0.0000 0.0000 0.0000
In1 In 0.6523 0.6948 0.5000
B1 B 0.2912 0.4201 0.0008
F1 F 0.0948 0.5828 0.8709
F2 F 0.1619 0.2626 0.1180
F3 F 0.2639 0.9953 0.7329
F4 F 0.3238 0.5850 0.1306
F5 F 0.5774 0.2631 0.8834
F6 F 0.7404 0.9947 0.2668
# Crystal system: triclinic
# Density of states at the Fermi level, states/eV per atom: 0.00
# E_tot, eV per cell: -50.6